(1)
{
  "formula": "RbSmUSe4",
  "functional": "GGA-PBE",
  "state": "optimized geometry",
  "cell": [[8.862, 0.000, 0.000], [-4.431, 7.680, -0.625], [0.000, -4.701, 7.731]],
  "species": ["Rb", "Rb", "Sm", "Sm", "U", "U", "Se", "Se", "Se", "Se", "Se", "Se", "Se", "Se"],
  "fractional_positions": [[0.871, 0.743, 0.121], [0.129, 0.257, 0.879], [0.500, 0.000, 0.500], [0.500, 0.000, 0.000], [0.500, 0.500, 0.500], [0.000, 0.500, 0.500], [0.736, 0.471, 0.687], [0.310, 0.047, 0.274], [0.737, 0.047, 0.274], [0.736, 0.471, 0.284], [0.264, 0.529, 0.716], [0.690, 0.953, 0.726], [0.263, 0.953, 0.726], [0.264, 0.529, 0.313]],
  "final_energy_ev_per_atom": -5.824,
  "e_form_raw_mev_per_atom": -1407
}


(2)
{
  "formula": "PaCuOs",
  "functional": "GGA-PBE",
  "state": "optimized geometry",
  "cell": [[-2.314, -0.028, -2.754], [-2.357, -1.839, 1.999], [0.601, 4.700, 1.796]],
  "species": ["Pa", "Os", "Cu"],
  "fractional_positions": [[0.266, 0.266, 0.533], [0.631, 0.631, 0.262], [0.952, 0.952, 0.905]],
  "polymorph_energy_kj_per_mol_atoms": 6.3,
  "final_energy_ev_per_atom": -8.202,
  "formation_energy_ev_per_fu": 0.22
}


(3)
{
  "formula": "Li2TcGe3",
  "functional": "GGA-PBE",
  "state": "optimized geometry",
  "cell": [[-2.783, 1.385, 3.833], [-2.445, -1.374, -4.060], [2.483, -7.545, 2.754]],
  "species": ["Li", "Li", "Li", "Li", "Tc", "Tc", "Ge", "Ge", "Ge", "Ge", "Ge", "Ge"],
  "fractional_positions": [[0.788, 0.038, 0.578], [0.540, 0.290, 0.078], [0.460, 0.710, 0.922], [0.212, 0.962, 0.422], [0.874, 0.624, 0.750], [0.126, 0.376, 0.250], [0.626, 0.876, 0.250], [0.374, 0.124, 0.750], [0.046, 0.796, 0.091], [0.705, 0.455, 0.409], [0.295, 0.545, 0.591], [0.954, 0.204, 0.909]],
  "final_energy_ev_per_atom": -4.809,
  "formation_energy_ev_per_fu": -0.81
}


(4)
{
  "formula": "KGdCdPb",
  "functional": "GGA-PBE",
  "state": "optimized geometry",
  "cell": [[-3.061, -3.261, -3.379], [2.292, -4.553, -2.332], [-1.565, -5.108, 1.697]],
  "species": ["Pb", "K", "Gd", "Cd"],
  "fractional_positions": [[0.250, 0.250, 0.250], [0.000, 0.000, 0.000], [0.500, 0.500, 0.500], [0.750, 0.750, 0.750]],
  "final_energy_ev_per_atom": -5.109,
  "formation_energy_ev_per_fu": -0.63
}